# CdRuPt3

A relaxed CdRuPt3 crystal (PBE, the Alexandria database).

Cell lengths 4.8139, 4.8139, 4.8139 Å; angles 90.00, 90.00, 90.00 degrees
With the nearest neighbours (Å) after each atom.
Atoms (fractional coordinates):
Cd  0.0000  0.0000  0.0000  12 Pt 3.40
Ru  0.5000  0.5000  0.5000  6 Pt 2.41
Pt  0.0000  0.5000  0.5000  2 Ru 2.41
Pt  0.5000  0.0000  0.5000  2 Ru 2.41
Pt  0.5000  0.5000  0.0000  2 Ru 2.41

Symmetry   Pm-3m
Magnetization   0.00 μB/f.u.
E_tot   -4.583 eV per atom
Polymorph energy (0 for the lowest one)   0.0 meV/atom
Energy of formation from the pure elements   1.0796 eV/atom